Compound: Cu2Sn2Rh
Source: Alexandria
Functional: PBE
Structure: optimized geometry

Unit cell a=7.0600 b=7.0600 c=3.6120 alpha=90.00 beta=90.00 gamma=90.00
Fractional positions:
Rh 0.0000 0.0000 0.0000
Rh 0.5000 0.5000 0.0000
Sn 0.3388 0.8388 0.0000
Sn 0.8388 0.6612 0.0000
Sn 0.6612 0.1612 0.0000
Sn 0.1612 0.3388 0.0000
Cu 0.1328 0.6328 0.5000
Cu 0.6328 0.8672 0.5000
Cu 0.8672 0.3672 0.5000
Cu 0.3672 0.1328 0.5000

**Energy relative to the elements**: 94 meV/atom
**Volume**: 180 Å³/cell
**ΔE to the lowest computed polymorph**: 0.0487 eV per atom
**Crystal system**: tetragonal
**Space group**: P4/mbm (127)